Nb8Ga2C3 | PBE-GGA | relaxed

* calculated volume: 16.4 Å³ per atom
* spin magnetization: 0.000 μB per atom
* E: -231.657 eV per cell

abc: 13.061 6.324 5.417
angles: 90.00 107.24 90.00
Space group C2/m (No. 12)
Inequivalent atoms, fractional coordinates:
Nb: 0.096 0.248 0.226
Nb: 0.097 0.500 0.740
Nb: 0.101 0.000 0.746
Ga: 0.249 0.500 0.492
C: 0.000 0.248 0.500
C: 0.000 0.500 0.000

Li2Hg2Pt | PBE-GGA | relaxed

* relative energy among the computed polymorphs: 6.893 kcal/mol of atoms
* calculated volume: 18.4 Å³ per atom
* spin magnetization: 0.000 μB per atom

abc: 3.653 3.653 13.757
angles: 90.00 90.00 90.00
Space group I4/mmm (No. 139)
Inequivalent atoms, fractional coordinates:
Li: 0.000 0.500 0.250
Hg: 0.000 0.000 0.108
Pt: 0.000 0.000 0.500

Tb4Dy4Cd | PBE-GGA | relaxed

* calculated volume: 30.4 Å³ per atom
* spin magnetization: 0.000 μB per atom
* E: -75.948 eV per cell

abc: 10.499 10.499 4.967
angles: 90.00 90.00 90.00
Space group I4/mmm (No. 139)
Inequivalent atoms, fractional coordinates:
Tb: 0.165 0.165 0.000
Dy: 0.000 0.333 0.500
Cd: 0.000 0.000 0.500

Ce6TcOsPb2 | PBE-GGA | relaxed

* calculated volume: 30.5 Å³ per atom
* spin magnetization: 0.458 μB per atom
* E: -265.760 eV per cell

abc: 10.684 10.684 10.684
angles: 90.00 90.00 90.00
Space group Fm-3m (No. 225)
Inequivalent atoms, fractional coordinates:
Ce: 0.000 0.000 0.248
Tc: 0.000 0.000 0.000
Os: 0.000 0.000 0.500
Pb: 0.250 0.250 0.250

CsTb2Br7 | PBE-GGA | relaxed

* calculated volume: 37.5 Å³ per atom
* spin magnetization: 0.000 μB per atom
* formation energy without anion corrections: -1.8465 eV/atom

abc: 9.036 14.688 5.650
angles: 90.00 90.00 90.00
Space group Cmmm (No. 65)
Inequivalent atoms, fractional coordinates:
Cs: 0.000 0.000 0.000
Tb: 0.000 0.303 0.500
Br: 0.000 0.297 0.000
Br: 0.000 0.500 0.500
Br: 0.188 0.141 0.500

NdPuCdRu | PBE-GGA | relaxed

* relative energy among the computed polymorphs: 3.470 kcal/mol of atoms
* calculated volume: 23.8 Å³ per atom
* spin magnetization: 1.357 μB per atom

abc: 7.244 7.244 7.244
angles: 90.00 90.00 90.00
Space group F-43m (No. 216)
Inequivalent atoms, fractional coordinates:
Nd: 0.000 0.000 0.000
Pu: 0.000 0.000 0.500
Cd: 0.250 0.250 0.750
Ru: 0.250 0.250 0.250

TlS6I2 | PBE-GGA | relaxed

* calculated volume: 36.4 Å³ per atom
* spin magnetization: 0.000 μB per atom
* formation energy without anion corrections: -0.0416 eV/atom

abc: 5.267 6.900 9.438
angles: 76.30 82.70 80.41
Space group P-1 (No. 2)
Inequivalent atoms, fractional coordinates:
Tl: 0.000 0.000 0.000
S: 0.162 0.236 0.413
S: 0.228 0.748 0.521
S: 0.250 0.976 0.331
I: 0.369 0.322 0.970

Be5CrCo6 | PBE-GGA | relaxed

* calculated volume: 9.1 Å³ per atom
* spin magnetization: 0.000 μB per atom
* E: -148.635 eV per cell

abc: 3.731 11.122 5.272
angles: 90.00 90.00 90.00
Space group Cmmm (No. 65)
Inequivalent atoms, fractional coordinates:
Be: 0.000 0.000 0.000
Be: 0.000 0.333 0.500
Be: 0.000 0.335 0.000
Cr: 0.000 0.000 0.500
Co: 0.000 0.168 0.245
Co: 0.000 0.500 0.242